# 1
Density functional theory data (GGA-PBE) for a relaxed LiTl2ZnBr5 crystal.

Cell: 4.0939 20.1532 13.8431 Å, 90.00 90.00 90.00°
Space group Cmc2_1 (No. 36)
One atom of each set of equivalent atoms:
1 Li 0.0000 0.2160 0.0000
2 Tl 0.0000 0.1316 0.2838
3 Tl 0.0000 0.1360 0.6452
4 Zn 0.0000 0.4353 0.3927
5 Br 0.0000 0.0406 0.9913
6 Br 0.0000 0.2958 0.6239
7 Br 0.0000 0.3174 0.3560
8 Br 0.0000 0.3422 0.9698
9 Br 0.0000 0.4980 0.2451

Values from the calculation:
DOS at the Fermi energy   0.00 states/eV per atom
E_form (uncorrected)   -878 kJ/mol of formula units
Size of the total moment   0.0 Bohr magnetons per cell

***

# 2
Density functional theory data (GGA-PBE) for a relaxed LiZrTlBr6 crystal.

Cell: 7.0728 7.0728 14.4381 Å, 90.00 90.00 120.00°
Space group P-31c (No. 163)
One atom of each set of equivalent atoms:
1 Li 0.3333 0.6667 0.2500
2 Zr 0.3333 0.6667 0.7500
3 Tl 0.0000 0.0000 0.0000
4 Br 0.0113 0.3786 0.6434

Values from the calculation:
DOS at the Fermi energy   0.00 states/eV per atom
E_form (uncorrected)   -1137 kJ/mol of formula units
Size of the total moment   0.0 Bohr magnetons per cell

***

# 3
Density functional theory data (GGA-PBE) for a relaxed Li3TmBr6 crystal.

Cell: 7.7243 7.7691 7.7698 Å, 61.40 61.44 61.44°
Space group P-1 (No. 2)
One atom of each set of equivalent atoms:
1 Li 0.0000 0.0000 0.0000
2 Li 0.0000 0.5000 0.5000
3 Li 0.5000 0.0000 0.5000
4 Tm 0.0000 0.5000 0.0000
5 Br 0.2297 0.7682 0.7701
6 Br 0.2327 0.2730 0.2654
7 Br 0.2434 0.2498 0.7496

Values from the calculation:
DOS at the Fermi energy   0.00 states/eV per atom
E_form (uncorrected)   -1540 kJ/mol of formula units
Size of the total moment   0.0 Bohr magnetons per cell

***

# 4
Density functional theory data (GGA-PBE) for a relaxed Li3TmBr6 crystal.

Cell: 7.0105 7.1065 12.8430 Å, 90.00 123.06 90.00°
Space group P2_1/c (No. 14)
One atom of each set of equivalent atoms:
1 Li 0.0000 0.0000 0.0000
2 Li 0.2188 0.0240 0.7323
3 Tm 0.5000 0.0000 0.5000
4 Br 0.1297 0.1013 0.2640
5 Br 0.2214 0.6792 0.0597
6 Br 0.4288 0.1729 0.0898

Values from the calculation:
DOS at the Fermi energy   0.00 states/eV per atom
E_form (uncorrected)   -1559 kJ/mol of formula units
Size of the total moment   0.0 Bohr magnetons per cell

***

# 5
Density functional theory data (GGA-PBE) for a relaxed Li2TmBr6 crystal.

Cell: 12.2813 4.1641 10.9797 Å, 90.00 105.39 90.00°
Space group C2/m (No. 12)
One atom of each set of equivalent atoms:
1 Li 0.1942 0.0000 0.1533
2 Tm 0.0000 0.0000 0.5000
3 Br 0.0386 0.0000 0.2698
4 Br 0.1353 0.5000 0.0120
5 Br 0.1559 0.5000 0.5890

Values from the calculation:
DOS at the Fermi energy   0.85 states/eV per atom
E_form (uncorrected)   -1183 kJ/mol of formula units
Size of the total moment   0.0 Bohr magnetons per cell

***

# 6
Density functional theory data (GGA-PBE) for a relaxed Li2TmBr5 crystal.

Cell: 12.3433 8.2860 7.0962 Å, 90.00 121.07 90.00°
Space group Cm (No. 8)
One atom of each set of equivalent atoms:
1 Li 0.0000 0.2200 0.0000
2 Tm 0.1483 0.0000 0.5139
3 Br 0.0508 0.0000 0.7805
4 Br 0.1990 0.2686 0.3724
5 Br 0.3959 0.0000 0.8750
6 Br 0.4087 0.5000 0.1368

Values from the calculation:
DOS at the Fermi energy   0.00 states/eV per atom
E_form (uncorrected)   -1261 kJ/mol of formula units
Size of the total moment   0.0 Bohr magnetons per cell

***

# 7
Density functional theory data (GGA-PBE) for a relaxed Li3UBr6 crystal.

Cell: 7.1210 7.2089 13.1185 Å, 90.00 122.45 90.00°
Space group P2_1/c (No. 14)
One atom of each set of equivalent atoms:
1 Li 0.0000 0.0000 0.0000
2 Li 0.2573 0.0124 0.7369
3 U 0.5000 0.0000 0.5000
4 Br 0.0826 0.1804 0.4340
5 Br 0.2449 0.6607 0.4094
6 Br 0.3965 0.1189 0.2592

Values from the calculation:
E_form (uncorrected)   -1321 kJ/mol of formula units
Size of the total moment   6.0 Bohr magnetons per cell

***

# 8
Density functional theory data (GGA-PBE) for a relaxed Li2UBr8 crystal.

Cell: 11.3121 11.9495 6.1401 Å, 90.00 96.45 90.00°
Space group C2/m (No. 12)
One atom of each set of equivalent atoms:
1 Li 0.2308 0.0000 0.2768
2 U 0.0000 0.5000 0.0000
3 Br 0.0101 0.0000 0.2488
4 Br 0.1142 0.3403 0.7906
5 Br 0.1920 0.5000 0.3013

Values from the calculation:
DOS at the Fermi energy   0.27 states/eV per atom
E_form (uncorrected)   -1219 kJ/mol of formula units
Size of the total moment   2.3 Bohr magnetons per cell

***

# 9
Density functional theory data (GGA-PBE) for a relaxed Li2UBr8 crystal.

Cell: 13.9472 7.7293 7.7149 Å, 90.00 97.40 90.00°
Space group C2/m (No. 12)
One atom of each set of equivalent atoms:
1 Li 0.0430 0.0000 0.3382
2 U 0.0000 0.5000 0.0000
3 Br 0.0984 0.5000 0.7330
4 Br 0.1190 0.2583 0.1540
5 Br 0.1292 0.0000 0.6346

Values from the calculation:
DOS at the Fermi energy   0.51 states/eV per atom
E_form (uncorrected)   -1228 kJ/mol of formula units
Size of the total moment   0.1 Bohr magnetons per cell

***

# 10
Density functional theory data (GGA-PBE) for a relaxed Li2VBr6 crystal.

Cell: 6.6004 6.6004 6.6710 Å, 90.00 90.00 120.00°
Space group P-31m (No. 162)
One atom of each set of equivalent atoms:
1 Li 0.3333 0.6667 0.0000
2 V 0.0000 0.0000 0.0000
3 Br 0.0000 0.3082 0.2185

Values from the calculation:
DOS at the Fermi energy   0.74 states/eV per atom
E_form (uncorrected)   -938 kJ/mol of formula units
Size of the total moment   1.0 Bohr magnetons per cell

***

# 11
Density functional theory data (GGA-PBE) for a relaxed LiV2Br8 crystal.

Cell: 12.0704 10.7765 6.6215 Å, 90.00 91.14 90.00°
Space group C2/m (No. 12)
One atom of each set of equivalent atoms:
1 Li 0.0000 0.0000 0.0000
2 V 0.2059 0.0000 0.6502
3 Br 0.1102 0.1713 0.7839
4 Br 0.1113 0.5000 0.2400
5 Br 0.1942 0.0000 0.2980

Values from the calculation:
DOS at the Fermi energy   1.09 states/eV per atom
E_form (uncorrected)   -964 kJ/mol of formula units
Size of the total moment   6.0 Bohr magnetons per cell

***

# 12
Density functional theory data (GGA-PBE) for a relaxed Li2VBr crystal.

Cell: 6.9160 6.9160 6.9160 Å, 90.00 90.00 90.00°
Space group Fm-3m (No. 225)
One atom of each set of equivalent atoms:
1 Li 0.2500 0.2500 0.2500
2 V 0.0000 0.0000 0.0000
3 Br 0.0000 0.0000 0.5000

Values from the calculation:
DOS at the Fermi energy   0.98 states/eV per atom
E_form (uncorrected)   146 kJ/mol of formula units
Size of the total moment   18.9 Bohr magnetons per cell

***

# 13
Density functional theory data (GGA-PBE) for a relaxed Li2VBr6 crystal.

Cell: 6.3414 6.3414 11.6614 Å, 90.00 90.00 90.00°
Space group P4_2/mnm (No. 136)
One atom of each set of equivalent atoms:
1 Li 0.0000 0.0000 0.1709
2 V 0.0000 0.0000 0.5000
3 Br 0.1925 0.1925 0.3447
4 Br 0.2216 0.2216 0.0000

Values from the calculation:
DOS at the Fermi energy   0.57 states/eV per atom
E_form (uncorrected)   -893 kJ/mol of formula units
Size of the total moment   2.0 Bohr magnetons per cell

***

# 14
Density functional theory data (GGA-PBE) for a relaxed Li3VBr6 crystal.

Cell: 6.6419 7.2265 12.0829 Å, 90.00 121.70 90.00°
Space group P2_1/c (No. 14)
One atom of each set of equivalent atoms:
1 Li 0.0000 0.0000 0.0000
2 Li 0.1512 0.1065 0.6654
3 V 0.5000 0.0000 0.5000
4 Br 0.1320 0.0574 0.2698
5 Br 0.2411 0.6851 0.0610
6 Br 0.4045 0.2086 0.0792

Values from the calculation:
DOS at the Fermi energy   0.79 states/eV per atom
E_form (uncorrected)   -1158 kJ/mol of formula units
Size of the total moment   4.0 Bohr magnetons per cell

***

# 15
Density functional theory data (GGA-PBE) for a relaxed LiVBr4 crystal.

Cell: 6.6310 3.7817 6.7471 Å, 90.00 90.86 90.00°
Space group P2/m (No. 10)
One atom of each set of equivalent atoms:
1 Li 0.0000 0.0000 0.0000
2 V 0.5000 0.5000 0.0000
3 Br 0.1866 0.5000 0.7869
4 Br 0.3529 0.0000 0.2178

Values from the calculation:
DOS at the Fermi energy   1.05 states/eV per atom
E_form (uncorrected)   -619 kJ/mol of formula units
Size of the total moment   2.0 Bohr magnetons per cell

***

# 16
Density functional theory data (GGA-PBE) for a relaxed LiVBr4 crystal.

Cell: 7.5174 16.6855 6.5820 Å, 90.00 122.96 90.00°
Space group C2/c (No. 15)
One atom of each set of equivalent atoms:
1 Li 0.0000 0.0740 0.2500
2 V 0.0000 0.4336 0.7500
3 Br 0.2278 0.4515 0.2190
4 Br 0.2387 0.3323 0.7578

Values from the calculation:
DOS at the Fermi energy   1.34 states/eV per atom
E_form (uncorrected)   -593 kJ/mol of formula units
Size of the total moment   8.0 Bohr magnetons per cell

***

# 17
Density functional theory data (GGA-PBE) for a relaxed Li2VBr crystal.

Cell: 7.6594 7.6594 5.5972 Å, 90.00 90.00 90.00°
Space group I-42d (No. 122)
One atom of each set of equivalent atoms:
1 Li 0.1996 0.2500 0.1250
2 V 0.0000 0.0000 0.5000
3 Br 0.0000 0.0000 0.0000

Values from the calculation:
DOS at the Fermi energy   1.15 states/eV per atom
E_form (uncorrected)   71 kJ/mol of formula units
Size of the total moment   15.7 Bohr magnetons per cell

***

# 18
Density functional theory data (GGA-PBE) for a relaxed LiVBr2 crystal.

Cell: 6.0486 6.0486 11.5642 Å, 90.00 90.00 90.00°
Space group I-42d (No. 122)
One atom of each set of equivalent atoms:
1 Li 0.0000 0.0000 0.0000
2 V 0.0000 0.0000 0.5000
3 Br 0.2361 0.2500 0.1250

Values from the calculation:
DOS at the Fermi energy   0.74 states/eV per atom
E_form (uncorrected)   -208 kJ/mol of formula units
Size of the total moment   16.0 Bohr magnetons per cell

***

# 19
Density functional theory data (GGA-PBE) for a relaxed LiVBr2 crystal.

Cell: 3.7452 3.7452 24.2320 Å, 90.00 90.00 120.00°
Space group R-3m (No. 166, hexagonal axes)
One atom of each set of equivalent atoms:
1 Li 0.0000 0.0000 0.0000
2 V 0.0000 0.0000 0.5000
3 Br 0.0000 0.0000 0.3972

Values from the calculation:
DOS at the Fermi energy   1.13 states/eV per atom
E_form (uncorrected)   -192 kJ/mol of formula units
Size of the total moment   10.8 Bohr magnetons per cell

***

# 20
Density functional theory data (GGA-PBE) for a relaxed Li2VBr4 crystal.

Cell: 7.8200 11.0208 3.8600 Å, 90.00 90.00 90.00°
Space group Cmmm (No. 65)
One atom of each set of equivalent atoms:
1 Li 0.2500 0.2500 0.0000
2 V 0.0000 0.0000 0.5000
3 Br 0.0000 0.2403 0.5000
4 Br 0.2320 0.0000 0.0000

Values from the calculation:
E_form (uncorrected)   -821 kJ/mol of formula units
Size of the total moment   6.0 Bohr magnetons per cell